[1]
Material: AsOsAu3
Method: DFT, PBEsol
State: relaxed

Values from the calculation:
The value obtained for the size of the total moment is 2.37 μB/f.u. Its symmetry is Pm-3m, No. 221. The density of states at the Fermi level is 3.2 states/eV/f.u. As for the formation energy: 1.521 eV per atom. Its energy above the most stable polymorph in this dataset is 0.000 eV per atom.

abc: 4.684 4.684 4.684
angles: 90.00 90.00 90.00
Sites, in units of the cell vectors:
Au 0.000 0.500 0.000
Au 0.500 0.000 0.000
Au 0.000 0.000 0.500
Os 0.500 0.500 0.500
As 0.000 0.000 0.000



[2]
Material: Be2MoSCl
Method: DFT, PBEsol
State: relaxed

Values from the calculation:
The value obtained for the size of the total moment is 0.52 μB/f.u. The value obtained for the final energy is -4.4700 eV per atom. Its symmetry is P4/mmm, No. 123. The density of states at the Fermi level is 4.0 states/eV/f.u.

abc: 3.990 3.990 4.575
angles: 90.00 90.00 90.00
Sites, in units of the cell vectors:
Cl 0.500 0.500 0.500
Be 0.500 0.000 0.000
Be 0.000 0.500 0.000
S 0.000 0.000 0.000
Mo 0.000 0.000 0.500